(1)
DFT (PBE-GGA) results for a geometry-optimized RbCo2Mo structure.

Computed properties:
E (eV/atom): -4.808
Magnetic moment (μB/f.u.): 1.185
Polymorph energy (0 for the lowest one) (meV/atom): 279

abc: 4.5993 4.5993 4.5993
angles: 60.00 60.00 60.00
Each line ends with the local moment (μB).
Sites, in units of the cell vectors:
Rb 0.0000 0.0000 0.0000  -0.04
Co 0.2500 0.2500 0.2500  1.22
Co 0.7500 0.7500 0.7500  1.22
Mo 0.5000 0.5000 0.5000  -0.95

(2)
DFT (PBE-GGA) results for a geometry-optimized Be2NiIr2 structure.

Computed properties:
E (eV/atom): -6.310
Magnetic moment (μB/f.u.): 0.977
Polymorph energy (0 for the lowest one) (meV/atom): 217

abc: 6.4969 6.4969 2.8207
angles: 90.00 90.00 90.00
Each line ends with the local moment (μB).
Sites, in units of the cell vectors:
Ni 0.0000 0.0000 0.0000  0.58
Ir 0.6448 0.1448 0.0000  0.22
Ni 0.5000 0.5000 0.0000  0.58
Be 0.8470 0.3470 0.5000  0.00
Be 0.6530 0.8470 0.5000  0.00
Be 0.3470 0.1530 0.5000  0.00
Ir 0.1448 0.3552 0.0000  0.19
Be 0.1530 0.6530 0.5000  0.00
Ir 0.8552 0.6448 0.0000  0.19
Ir 0.3552 0.8552 0.0000  0.22